(1)
Dy2MgNi9 | PBE-GGA | optimized geometry

For the total energy, the calculation gives -5.3663 eV/atom. The calculated density comes out at 8.72 g/cm3.

Lattice parameters (Å, degrees): 8.541 8.541 8.541 33.30 33.30 33.30
Element x y z (fractional)
Ni: 0.418 0.418 0.920
Ni: 0.418 0.920 0.418
Ni: 0.920 0.418 0.418
Ni: 0.582 0.080 0.582
Ni: 0.080 0.582 0.582
Ni: 0.333 0.333 0.333
Ni: 0.582 0.582 0.080
Ni: 0.667 0.667 0.667
Ni: 0.500 0.500 0.500
Mg: 0.000 0.000 0.000
Dy: 0.864 0.864 0.864
Dy: 0.136 0.136 0.136



(2)
Dy4Mg3Ni2 | PBE-GGA | optimized geometry

For the total energy, the calculation gives -4.0648 eV/atom. The calculated density comes out at 6.55 g/cm3.

Lattice parameters (Å, degrees): 7.431 3.646 8.266 90.00 108.06 90.00
Element x y z (fractional)
Dy: 0.107 0.500 0.826
Dy: 0.588 0.500 0.721
Dy: 0.893 0.500 0.174
Dy: 0.412 0.500 0.279
Ni: 0.843 0.000 0.890
Ni: 0.157 0.000 0.110
Mg: 0.206 0.000 0.499
Mg: 0.794 0.000 0.501
Mg: 0.500 0.000 0.000



(3)
DyMg2Ni9 | PBE-GGA | optimized geometry

For the total energy, the calculation gives -5.1039 eV/atom. The calculated density comes out at 7.73 g/cm3.

Lattice parameters (Å, degrees): 8.335 8.335 8.335 33.70 33.70 33.70
Element x y z (fractional)
Ni: 0.082 0.586 0.586
Ni: 0.586 0.586 0.082
Ni: 0.586 0.082 0.586
Ni: 0.500 0.500 0.500
Ni: 0.414 0.918 0.414
Ni: 0.414 0.414 0.918
Ni: 0.918 0.414 0.414
Ni: 0.334 0.334 0.334
Ni: 0.666 0.666 0.666
Dy: 0.000 0.000 0.000
Mg: 0.856 0.856 0.856
Mg: 0.144 0.144 0.144



(4)
DyMg2Ni | PBE-GGA | optimized geometry

For the total energy, the calculation gives -2.9936 eV/atom. The calculated density comes out at 3.73 g/cm3.

Lattice parameters (Å, degrees): 8.207 8.207 7.917 90.00 90.00 153.26
Element x y z (fractional)
Ni: 0.210 0.790 0.000
Ni: 0.790 0.210 0.000
Dy: 0.398 0.602 0.000
Dy: 0.602 0.398 0.000
Mg: 0.168 0.832 0.316
Mg: 0.832 0.168 0.316
Mg: 0.168 0.832 0.684
Mg: 0.832 0.168 0.684



(5)
Dy3MgZn2NiPt2 | PBE-GGA | optimized geometry

For the total energy, the calculation gives -4.7590 eV/atom. The calculated density comes out at 10.24 g/cm3.

Lattice parameters (Å, degrees): 3.842 7.294 7.294 119.99 90.00 90.00
Element x y z (fractional)
Mg: 0.000 0.765 0.765
Zn: 0.000 0.992 0.233
Zn: 0.000 0.233 0.992
Dy: 0.500 0.588 0.013
Dy: 0.500 0.385 0.385
Dy: 0.500 0.013 0.588
Ni: 0.500 0.012 0.012
Pt: 0.000 0.343 0.668
Pt: 0.000 0.668 0.343



(6)
Dy3Mg2ZnNiPt2 | PBE-GGA | optimized geometry

For the total energy, the calculation gives -4.7625 eV/atom. The calculated density comes out at 9.66 g/cm3.

Lattice parameters (Å, degrees): 3.892 7.315 7.315 119.88 90.00 90.00
Element x y z (fractional)
Pt: 0.500 0.666 0.327
Pt: 0.500 0.327 0.666
Dy: 0.000 0.592 0.988
Dy: 0.000 0.988 0.592
Dy: 0.000 0.431 0.431
Ni: 0.000 0.991 0.991
Mg: 0.500 0.245 0.005
Mg: 0.500 0.005 0.245
Zn: 0.500 0.755 0.755



(7)
DyMgO3 | PBE-GGA | optimized geometry

For the total energy, the calculation gives -6.8696 eV/atom. The calculated density comes out at 6.83 g/cm3.

Lattice parameters (Å, degrees): 5.385 5.727 7.406 90.00 90.00 90.00
Element x y z (fractional)
Dy: 0.523 0.577 0.250
Dy: 0.977 0.077 0.250
Dy: 0.023 0.923 0.750
Dy: 0.477 0.423 0.750
O: 0.191 0.198 0.565
O: 0.809 0.802 0.065
O: 0.634 0.053 0.750
O: 0.366 0.947 0.250
O: 0.309 0.698 0.935
O: 0.866 0.553 0.750
O: 0.691 0.302 0.435
O: 0.809 0.802 0.435
O: 0.134 0.447 0.250
O: 0.691 0.302 0.065
O: 0.309 0.698 0.565
O: 0.191 0.198 0.935
Mg: 0.000 0.500 0.500
Mg: 0.000 0.500 0.000
Mg: 0.500 0.000 0.000
Mg: 0.500 0.000 0.500



(8)
DyMgO3 | PBE-GGA | optimized geometry

For the total energy, the calculation gives -6.6485 eV/atom. The calculated density comes out at 6.48 g/cm3.

Lattice parameters (Å, degrees): 3.834 3.834 4.094 90.00 90.00 90.00
Element x y z (fractional)
Mg: 0.500 0.500 0.568
O: 0.500 0.000 0.645
O: 0.500 0.500 0.092
O: 0.000 0.500 0.645
Dy: 0.000 0.000 0.949



Among the records above, which one has the lowest calculated density? DyMg2Ni